The following is a DFT calculation (GGA-PBE) of crystalline CsSrSc2Cd at its relaxed geometry.

Lattice parameters (Å, degrees): 5.7001 6.6296 5.7001 90.00 90.00 90.00
Sites, in units of the cell vectors:
Cs 0.0000 0.5000 0.0000
Sr 0.5000 0.5000 0.5000
Sc 0.0000 0.0000 0.5000
Sc 0.5000 0.0000 0.0000
Cd 0.0000 0.0000 0.0000

Results
* energy relative to the elements: 625 meV per atom
* crystal system: tetragonal
* uncorrected energy: -0.1909 Ry/atom
* N(E_F): 8.77 states/eV per cell